Sc12Ni3H5 | PBE | optimized geometry

Cell: 11.993 11.993 11.993 Å, 109.47 109.47 109.47°
Positions (direct):
Ni (0.750, 0.375, 0.125)
Ni (0.875, 0.750, 0.125)
Ni (0.375, 0.750, 0.625)
Ni (0.250, 0.125, 0.375)
Ni (0.875, 0.125, 0.250)
Ni (0.375, 0.625, 0.250)
Ni (0.625, 0.375, 0.750)
Ni (0.125, 0.875, 0.750)
Ni (0.750, 0.875, 0.625)
Ni (0.625, 0.250, 0.375)
Ni (0.125, 0.250, 0.875)
Ni (0.250, 0.625, 0.875)
H (0.125, 0.375, 0.250)
H (0.000, 0.500, 0.000)
H (0.000, 0.000, 0.000)
H (0.375, 0.250, 0.125)
H (0.500, 0.000, 0.500)
H (0.500, 0.500, 0.000)
H (0.125, 0.750, 0.375)
H (0.750, 0.125, 0.875)
H (0.750, 0.625, 0.375)
H (0.375, 0.125, 0.750)
H (0.625, 0.875, 0.250)
H (0.500, 0.500, 0.500)
H (0.500, 0.000, 0.000)
H (0.000, 0.000, 0.500)
H (0.250, 0.375, 0.625)
H (0.250, 0.875, 0.125)
H (0.000, 0.500, 0.500)
H (0.875, 0.250, 0.625)
H (0.625, 0.750, 0.875)
H (0.875, 0.625, 0.750)
Sc (0.715, 0.119, 0.025)
Sc (0.309, 0.525, 0.405)
Sc (0.975, 0.381, 0.285)
Sc (0.525, 0.215, 0.119)
Sc (0.596, 0.715, 0.691)
Sc (0.975, 0.595, 0.191)
Sc (0.309, 0.785, 0.404)
Sc (0.095, 0.904, 0.119)
Sc (0.595, 0.975, 0.691)
Sc (0.715, 0.596, 0.191)
Sc (0.785, 0.475, 0.381)
Sc (0.809, 0.905, 0.025)
Sc (0.119, 0.715, 0.525)
Sc (0.381, 0.405, 0.096)
Sc (0.096, 0.905, 0.381)
Sc (0.404, 0.119, 0.595)
Sc (0.096, 0.191, 0.215)
Sc (0.475, 0.691, 0.095)
Sc (0.809, 0.904, 0.285)
Sc (0.119, 0.404, 0.095)
Sc (0.381, 0.975, 0.785)
Sc (0.595, 0.619, 0.404)
Sc (0.905, 0.809, 0.525)
Sc (0.785, 0.309, 0.904)
Sc (0.405, 0.381, 0.596)
Sc (0.095, 0.191, 0.475)
Sc (0.215, 0.691, 0.096)
Sc (0.191, 0.096, 0.715)
Sc (0.619, 0.025, 0.215)
Sc (0.881, 0.596, 0.905)
Sc (0.525, 0.309, 0.905)
Sc (0.596, 0.881, 0.405)
Sc (0.904, 0.809, 0.785)
Sc (0.904, 0.095, 0.619)
Sc (0.881, 0.285, 0.475)
Sc (0.191, 0.095, 0.975)
Sc (0.619, 0.595, 0.904)
Sc (0.405, 0.025, 0.309)
Sc (0.285, 0.404, 0.809)
Sc (0.215, 0.525, 0.619)
Sc (0.905, 0.096, 0.881)
Sc (0.691, 0.215, 0.596)
Sc (0.475, 0.785, 0.881)
Sc (0.025, 0.405, 0.809)
Sc (0.404, 0.285, 0.309)
Sc (0.025, 0.619, 0.715)
Sc (0.691, 0.475, 0.595)
Sc (0.285, 0.881, 0.975)

Values from the calculation:
size of the total moment = 0.01 μB per cell
total DFT energy (no corrections) = -5.81 eV/atom
calculated volume = 1327.87 Å³ per cell
crystal system = cubic



Sc2NiH2 | PBE | optimized geometry

Cell: 3.228 3.228 6.127 Å, 74.73 74.73 90.00°
Positions (direct):
Sc (0.360, 0.360, 0.281)
Sc (0.640, 0.640, 0.719)
Ni (0.000, 0.000, 0.000)
H (0.750, 0.250, 0.500)
H (0.250, 0.750, 0.500)

Values from the calculation:
size of the total moment = 0.00 μB per cell
distance to the lowest polymorph of the same formula = 0.000 eV/atom
total DFT energy (no corrections) = -5.60 eV/atom
calculated volume = 59.24 Å³ per cell
crystal system = tetragonal



ScNi7H6 | PBE | optimized geometry

Cell: 4.522 4.522 7.041 Å, 71.27 71.27 60.00°
Positions (direct):
Sc (0.998, 0.998, 0.006)
Ni (0.885, 0.218, 0.347)
Ni (0.445, 0.108, 0.666)
Ni (0.781, 0.445, 0.666)
Ni (0.664, 0.664, 0.007)
Ni (0.218, 0.551, 0.347)
Ni (0.551, 0.885, 0.347)
Ni (0.108, 0.781, 0.666)
H (0.721, 0.070, 0.789)
H (0.580, 0.274, 0.225)
H (0.921, 0.580, 0.225)
H (0.070, 0.419, 0.789)
H (0.419, 0.721, 0.789)
H (0.274, 0.921, 0.225)

Values from the calculation:
size of the total moment = 0.00 μB per cell
total DFT energy (no corrections) = -4.91 eV/atom
calculated volume = 115.81 Å³ per cell
crystal system = trigonal